Entry 1:
Here is a geometry-optimized HoZnSn structure from Alexandria via LeMat-Bulk. Energies are from PBEsol.

Values from the calculation:
ρ: 9.1 g/cm3
total magnetization: 0.0 μB per cell
crystal system: hexagonal
DFT formation energy: -560 meV/atom

Cell lengths 4.5599, 4.5599, 7.0764 Å; angles 90.00, 90.00, 120.00 degrees
With the nearest neighbours (Å) after each atom.
Element x y z (fractional)
Zn: 0.3333 0.6667 0.7500  3 Sn 2.63
Zn: 0.6667 0.3333 0.2500  3 Sn 2.63
Ho: 0.0000 0.0000 0.5000  6 Sn 3.17, 6 Zn 3.17, 2 Ho 3.54
Ho: 0.0000 0.0000 0.0000  6 Zn 3.17, 6 Sn 3.17, 2 Ho 3.54
Sn: 0.3333 0.6667 0.2500  3 Zn 2.63
Sn: 0.6667 0.3333 0.7500  3 Zn 2.63

=====

Entry 2:
Here is a geometry-optimized CaBeRh2 structure from Alexandria via LeMat-Bulk. Energies are from PBEsol.

Values from the calculation:
ρ: 7.2 g/cm3
total magnetization: 0.0 μB per cell
crystal system: orthorhombic
DFT formation energy: -30 meV/atom

Cell lengths 2.9547, 4.3495, 5.2718 Å; angles 114.36, 106.27, 90.00 degrees
With the nearest neighbours (Å) after each atom.
Element x y z (fractional)
Be: 0.5322 0.5322 0.0645  2 Rh 2.33
Ca: 0.7564 0.2564 0.5128  6 Rh 2.64-2.91, 2 Be 2.92, 2 Ca 2.95
Rh: 0.9819 0.9819 0.9638  4 Be 2.67, 4 Rh 2.74-2.95, 2 Ca 2.91
Rh: 0.2295 0.7295 0.4590  2 Be 2.33

=====

Entry 3:
Here is a geometry-optimized KCo2As structure from Alexandria via LeMat-Bulk. Energies are from PBEsol.

Values from the calculation:
ρ: 5.4 g/cm3
total magnetization: 3.2 μB per cell
crystal system: orthorhombic
DFT formation energy: 611 meV/atom

Cell lengths 2.6871, 5.3944, 5.7876 Å; angles 117.78, 103.42, 90.00 degrees
With the nearest neighbours (Å) after each atom.
Element x y z (fractional)
As: 0.3023 0.8023 0.6045  2 Co 2.37
Co: 0.9992 0.9992 0.9984  2 Co 2.31, 2 As 2.37
Co: 0.6888 0.1888 0.3775  2 Co 2.31
K: 0.5097 0.5097 0.0195  2 K 2.69

=====

Entry 4:
Here is a geometry-optimized Li3LaO structure from Alexandria via LeMat-Bulk. Energies are from PBEsol.

Values from the calculation:
formation energy without anion corrections: -0.401 eV/atom
ρ: 3.6 g/cm3
total magnetization: 0.0 μB per cell
crystal system: cubic

Cell lengths 4.3246, 4.3246, 4.3246 Å; angles 90.00, 90.00, 90.00 degrees
With the nearest neighbours (Å) after each atom.
Element x y z (fractional)
Li: 0.0000 0.5000 0.0000  2 O 2.16
Li: 0.0000 0.0000 0.5000  2 O 2.16
Li: 0.5000 0.0000 0.0000  2 O 2.16
O: 0.0000 0.0000 0.0000  6 Li 2.16
La: 0.5000 0.5000 0.5000  12 Li 3.06

=====

Entry 5:
Here is a geometry-optimized AlCrSe2 structure from Alexandria via LeMat-Bulk. Energies are from PBEsol.

Values from the calculation:
formation energy without anion corrections: -0.352 eV/atom
ρ: 5.3 g/cm3
total magnetization: 4.1 μB per cell
ΔE to the lowest computed polymorph: 0.00 eV per formula unit
crystal system: tetragonal

Cell lengths 3.7554, 3.7554, 5.3063 Å; angles 90.00, 90.00, 90.00 degrees
With the nearest neighbours (Å) after each atom.
Element x y z (fractional)
Cr: 0.5000 0.5000 0.5000  6 Se 2.65-2.66
Al: 0.0000 0.0000 0.0000  6 Se 2.65-2.66
Se: 0.0000 0.0000 0.5000  2 Al 2.65, 4 Cr 2.66
Se: 0.5000 0.5000 0.0000  2 Cr 2.65, 4 Al 2.66

=====

Entry 6:
Here is a geometry-optimized Sr2AlOs structure from Alexandria via LeMat-Bulk. Energies are from PBEsol.

Values from the calculation:
ρ: 6.5 g/cm3
total magnetization: 0.0 μB per cell
crystal system: tetragonal
DFT formation energy: 618 meV/atom

Cell lengths 3.6508, 3.6508, 7.5437 Å; angles 90.00, 90.00, 90.00 degrees
With the nearest neighbours (Å) after each atom.
Element x y z (fractional)
Sr: 0.0000 0.0000 0.7233  4 Os 3.08, 4 Al 3.32, 1 Sr 3.37
Sr: 0.0000 0.0000 0.2767  4 Os 3.08, 4 Al 3.32, 1 Sr 3.37
Os: 0.5000 0.5000 0.5000  8 Sr 3.08
Al: 0.5000 0.5000 0.0000  8 Sr 3.32, 4 Al 3.65